[1]
VASP calculation (PBE) on an optimized crystal structure of Ba2U3Te8.

It has space group Cmmm (No. 65), with a = 10.7600 Å, b = 16.7047 Å, c = 5.3650 Å, α = 90.00°, β = 90.00° and γ = 90.00°. The inequivalent atoms are Ba at (0.0000, 0.2373, 0.0000), U at (0.0000, 0.5000, 0.0000), U at (0.2306, 0.0000, 0.5000), Te at (0.0000, 0.1111, 0.5000), Te at (0.0000, 0.3977, 0.5000) and Te at (0.2348, 0.3919, 0.0000).

Its calculated density is 6.92 g/cm³. Its uncorrected formation energy is -11.84 eV/f.u. Its total magnetic moment is 11.97 μB per cell.

---

[2]
VASP calculation (PBE) on an optimized crystal structure of Ba3U5Te12.

It has space group Ia-3d (No. 230), with a = 19.0922 Å, b = 19.0922 Å, c = 19.0922 Å, α = 90.00°, β = 90.00° and γ = 90.00°. The inequivalent atoms are Ba at (0.0000, 0.2500, 0.1250), U at (0.0000, 0.0000, 0.0000), U at (0.0000, 0.2500, 0.3750) and Te at (0.0268, 0.0616, 0.6470).

Its calculated density is 5.98 g/cm³. Its uncorrected formation energy is -15.09 eV/f.u. Its total magnetic moment is 96.00 μB per cell.

---

[3]
VASP calculation (PBE) on an optimized crystal structure of BaUTe4.

It has space group C2/m (No. 12), with a = 16.3764 Å, b = 6.3195 Å, c = 10.5712 Å, α = 90.00°, β = 129.64° and γ = 90.00°. The inequivalent atoms are Ba at (0.1013, 0.0000, 0.3062), U at (0.1410, 0.5000, 0.7802), Te at (0.0989, 0.0000, 0.6597), Te at (0.1085, 0.5000, 0.4518) and Te at (0.1437, 0.2497, 0.0431).

Its calculated density is 6.98 g/cm³. Its uncorrected formation energy is -5.70 eV/f.u. Its total magnetic moment is 8.80 μB per cell.

---

[4]
VASP calculation (PBE) on an optimized crystal structure of Ba2UTe4.

It has space group Pbam (No. 55), with a = 8.6591 Å, b = 13.7973 Å, c = 4.8271 Å, α = 90.00°, β = 90.00° and γ = 90.00°. The inequivalent atoms are Ba at (0.0873, 0.1807, 0.0000), U at (0.0000, 0.5000, 0.5000), Te at (0.1302, 0.7033, 0.5000) and Te at (0.2186, 0.4484, 0.0000).

Its calculated density is 5.89 g/cm³. Its uncorrected formation energy is -8.90 eV/f.u. Its total magnetic moment is 4.00 μB per cell.

---

[5]
VASP calculation (PBE) on an optimized crystal structure of Ba3V5Te12.

It has space group Ia-3d (No. 230), with a = 17.6288 Å, b = 17.6288 Å, c = 17.6288 Å, α = 90.00°, β = 90.00° and γ = 90.00°. The inequivalent atoms are Ba at (0.0000, 0.2500, 0.1250), V at (0.0000, 0.0000, 0.0000), V at (0.0000, 0.2500, 0.3750) and Te at (0.0401, 0.0519, 0.6444).

Its calculated density is 5.33 g/cm³. Its uncorrected formation energy is -11.83 eV/f.u. Its total magnetic moment is 55.99 μB per cell.

---

[6]
VASP calculation (PBE) on an optimized crystal structure of BaV3Te.

It has space group Pm-3m (No. 221), with a = 5.0169 Å, b = 5.0169 Å, c = 5.0169 Å, α = 90.00°, β = 90.00° and γ = 90.00°. The inequivalent atoms are Ba at (0.0000, 0.0000, 0.0000), V at (0.0000, 0.0000, 0.5000) and Te at (0.5000, 0.5000, 0.5000).

For the distance to the lowest polymorph of the same formula, the calculation gives 1.2142 eV/atom. Its calculated density is 5.49 g/cm³. Its uncorrected formation energy is 11.18 eV/f.u. Its total magnetic moment is 6.72 μB per cell.

---

[7]
VASP calculation (PBE) on an optimized crystal structure of Ba2VTe.

It has space group I-42d (No. 122), with a = 9.1614 Å, b = 9.1614 Å, c = 8.2664 Å, α = 90.00°, β = 90.00° and γ = 90.00°. The inequivalent atoms are Ba at (0.2455, 0.2500, 0.1250), V at (0.0000, 0.0000, 0.5000) and Te at (0.0000, 0.0000, 0.0000).

Its calculated density is 4.34 g/cm³. Its uncorrected formation energy is 0.32 eV/f.u. Its total magnetic moment is 18.99 μB per cell.

---

[8]
VASP calculation (PBE) on an optimized crystal structure of BaVTe3.

It has space group Pm-3m (No. 221), with a = 5.4338 Å, b = 5.4338 Å, c = 5.4338 Å, α = 90.00°, β = 90.00° and γ = 90.00°. The inequivalent atoms are Ba at (0.0000, 0.0000, 0.0000), V at (0.5000, 0.5000, 0.5000) and Te at (0.0000, 0.5000, 0.5000).

Its calculated density is 5.91 g/cm³. Its uncorrected formation energy is -3.28 eV/f.u. Its total magnetic moment is 1.44 μB per cell.